1.
A relaxed KZrPb3 crystal. Source: Alexandria, functional PBE.

formation energy = 1307.1 meV/atom
energy relative to the lowest polymorph listed for this composition = 1295.0 meV/atom
crystal system = cubic
VASP energy = -2.8471 eV per atom

```
KZrPb3
1.0
5.665 0.000 0.000
0.000 5.665 0.000
0.000 0.000 5.665
Zr Pb K
1 3 1
direct
0.500 0.500 0.500
0.500 0.000 0.000
0.000 0.500 0.000
0.000 0.000 0.500
0.000 0.000 0.000
```

---

2.
A relaxed K3ZrPb crystal. Source: Alexandria, functional PBE.

formation energy = 1179.1 meV/atom
crystal system = cubic
VASP energy = -1.9307 eV per atom

```
K3ZrPb
1.0
-1.078 -3.243 5.464
-1.409 -5.282 -3.413
6.195 -1.766 0.174
K Pb Zr
3 1 1
direct
0.000 0.000 0.500
0.000 0.500 0.000
0.500 0.000 0.000
0.500 0.500 0.500
0.000 0.000 0.000
```

---

3.
A relaxed KZr3Pb crystal. Source: Alexandria, functional PBE.

formation energy = 1186.6 meV/atom
energy relative to the lowest polymorph listed for this composition = 0.0 meV/atom
crystal system = cubic
VASP energy = -4.9034 eV per atom

```
KZr3Pb
1.0
-1.883 -4.059 3.350
5.263 -1.485 1.158
0.049 3.545 4.322
Zr K Pb
3 1 1
direct
0.000 0.000 0.500
0.500 0.000 0.000
0.000 0.500 0.000
0.500 0.500 0.500
0.000 0.000 0.000
```

---

Question: Among the records above, which one has the highest formation energy?
Answer: KZrPb3

---

Question: What is the formula in the third record?
Answer: KZr3Pb